(1)
Below is an optimized crystal structure of SiSnMo, with properties calculated at the PBE-GGA level.

The structure in extended XYZ format:
```
3
Lattice="0.000 3.060 3.060 3.060 0.000 3.060 3.060 3.060 0.000" Properties=species:S:1:pos:R:3 pbc="T T T"
Si 0.000 0.000 0.000
Sn 4.590 4.590 4.590
Mo 1.530 1.530 1.530
```

Properties
- Excess energy over the best structure of this formula in the dataset: 0 meV per atom
- Total magnetic moment: 0.0 Bohr magnetons per cell

---

(2)
Below is an optimized crystal structure of PrNd2Mg3Hg2Au, with properties calculated at the PBE-GGA level.

The structure in extended XYZ format:
```
9
Lattice="4.293 0.000 0.000 0.000 6.852 3.958 0.000 -6.852 3.958" Properties=species:S:1:pos:R:3 pbc="T T T"
Mg 2.146 5.224 4.894
Mg 2.146 -5.224 4.894
Au 0.000 0.000 7.908
Nd 0.000 -4.075 2.354
Nd 0.000 4.075 2.354
Pr 0.000 0.000 3.212
Mg 2.146 0.000 6.041
Hg 2.146 2.298 3.963
Hg 2.146 -2.298 3.963
```

Properties
- DFT total energy: -3.02 eV/atom
- Total magnetic moment: 0.2 Bohr magnetons per cell

---

(3)
Below is an optimized crystal structure of BeNbCoBi, with properties calculated at the PBE-GGA level.

The structure in extended XYZ format:
```
4
Lattice="0.000 3.193 3.193 3.193 0.000 3.193 3.193 3.193 0.000" Properties=species:S:1:pos:R:3 pbc="T T T"
Be 3.193 3.193 3.193
Nb 1.597 1.597 1.597
Co 4.790 4.790 4.790
Bi 0.000 0.000 0.000
```

Properties
- Excess energy over the best structure of this formula in the dataset: 88 meV per atom
- Total magnetic moment: 2.0 Bohr magnetons per cell

---

(4)
Below is an optimized crystal structure of Na4AsPIr2, with properties calculated at the PBE-GGA level.

The structure in extended XYZ format:
```
8
Lattice="5.715 0.000 0.000 0.000 4.405 3.372 0.000 -4.405 3.372" Properties=species:S:1:pos:R:3 pbc="T T T"
Na 0.000 -2.850 2.310
P 0.000 0.000 1.705
Ir 4.141 0.000 3.269
Na 2.857 2.773 4.388
Ir 1.574 0.000 3.269
As 2.857 0.000 5.342
Na 2.857 -2.773 4.388
Na 0.000 2.850 2.310
```

Properties
- DFT total energy: -4.34 eV/atom
- Total magnetic moment: 0.0 Bohr magnetons per cell

---

(5)
Below is an optimized crystal structure of ZrZn2Ga, with properties calculated at the PBE-GGA level.

The structure in extended XYZ format:
```
4
Lattice="4.023 0.000 0.000 0.000 4.023 0.000 0.000 0.000 4.139" Properties=species:S:1:pos:R:3 pbc="T T T"
Zr 2.012 2.012 2.070
Ga 0.000 0.000 2.070
Zn 0.000 2.012 0.000
Zn 2.012 0.000 0.000
```

Properties
- DFT total energy: -3.96 eV/atom
- Total magnetic moment: 0.0 Bohr magnetons per cell

---

(6)
Below is an optimized crystal structure of ZnCuAgSb, with properties calculated at the PBE-GGA level.

The structure in extended XYZ format:
```
4
Lattice="0.000 3.311 3.311 3.311 0.000 3.311 3.311 3.311 0.000" Properties=species:S:1:pos:R:3 pbc="T T T"
Sb 0.000 0.000 0.000
Zn 1.656 1.656 1.656
Ag 3.311 3.311 3.311
Cu 4.967 4.967 4.967
```

Properties
- DFT total energy: -2.78 eV/atom

---

Number 1: theoretical density 7.036 Mg/m³. Number 2: theoretical density 7.847 Mg/m³. Number 3: theoretical density 9.431 Mg/m³. Number 4: theoretical density 5.694 Mg/m³. Number 5: theoretical density 7.230 Mg/m³. Number 6: theoretical density 8.201 Mg/m³.